1.
Crystalline Ho5Rh3 at its relaxed geometry. Source: Alexandria via LeMat-Bulk, functional PBEsol.

Summary:
The electronic total energy comes out at -6.853 eV/atom. The formation energy comes out at -707 meV/atom. Its space group is P6_3/mcm. The crystal system is hexagonal.

Cell lengths 6.1394, 8.0813, 8.0813 Å; angles 120.00, 90.00, 90.00 degrees
Positions (direct):
Ho (0.2500, 0.7514, 0.0000)
Ho (0.0000, 0.3333, 0.6667)
Ho (0.7500, 0.0000, 0.2486)
Ho (0.7500, 0.7514, 0.7514)
Ho (0.7500, 0.2486, 0.0000)
Ho (0.2500, 0.2486, 0.2486)
Ho (0.5000, 0.6667, 0.3333)
Ho (0.0000, 0.6667, 0.3333)
Ho (0.2500, 0.0000, 0.7514)
Ho (0.5000, 0.3333, 0.6667)
Rh (0.2500, 0.0000, 0.3984)
Rh (0.2500, 0.6016, 0.6016)
Rh (0.7500, 0.0000, 0.6016)
Rh (0.7500, 0.3984, 0.3984)
Rh (0.7500, 0.6016, 0.0000)
Rh (0.2500, 0.3984, 0.0000)

***

2.
Crystalline SiBr3 at its relaxed geometry. Source: Alexandria via LeMat-Bulk, functional PBEsol.

Summary:
The electronic total energy comes out at -3.242 eV/atom. The uncorrected formation energy comes out at -0.403 eV/atom. Its space group is Cmmm. The crystal system is orthorhombic.

Cell lengths 3.6018, 4.9972, 7.0959 Å; angles 110.59, 90.00, 90.00 degrees
Positions (direct):
Si (0.5000, 0.0000, 0.5000)
Br (0.5000, 0.5000, 0.5000)
Br (0.0000, 0.1346, 0.7697)
Br (0.0000, 0.8654, 0.2303)

***

3.
Crystalline AlIn2Cl at its relaxed geometry. Source: Alexandria via LeMat-Bulk, functional PBEsol.

Summary:
The electronic total energy comes out at -3.227 eV/atom. The uncorrected formation energy comes out at -0.210 eV/atom. Its space group is C2/m. The crystal system is monoclinic.

Cell lengths 3.1581, 5.5003, 5.5003 Å; angles 90.00, 78.03, 78.03 degrees
Positions (direct):
In (0.0000, 0.5000, 0.0000)
In (0.0000, 0.0000, 0.5000)
Al (0.5000, 0.0000, 0.0000)
Cl (0.5000, 0.5000, 0.5000)

***

4.
Crystalline CaIn2Pt at its relaxed geometry. Source: Alexandria via LeMat-Bulk, functional PBEsol.

Summary:
The electronic total energy comes out at -4.251 eV/atom. The formation energy comes out at -486 meV/atom. Its space group is P4/mmm. The crystal system is tetragonal.

Cell lengths 3.3627, 3.3627, 7.6548 Å; angles 90.00, 90.00, 90.00 degrees
Positions (direct):
In (0.0000, 0.0000, 0.2023)
In (0.0000, 0.0000, 0.7977)
Pt (0.5000, 0.5000, 0.0000)
Ca (0.5000, 0.5000, 0.5000)

***

5.
Crystalline Fe3Co5 at its relaxed geometry. Source: Alexandria via LeMat-Bulk, functional PBEsol.

Summary:
The electronic total energy comes out at -8.140 eV/atom. The formation energy comes out at 57 meV/atom. Its space group is P-4m2. The crystal system is tetragonal.

Cell lengths 3.9340, 3.9340, 5.5736 Å; angles 90.00, 90.00, 90.00 degrees
Positions (direct):
Co (0.0000, 0.5000, 0.7440)
Co (0.0000, 0.0000, 0.0000)
Co (0.5000, 0.5000, 0.0000)
Co (0.5000, 0.0000, 0.2560)
Co (0.0000, 0.0000, 0.5000)
Fe (0.5000, 0.5000, 0.5000)
Fe (0.5000, 0.0000, 0.7539)
Fe (0.0000, 0.5000, 0.2461)

***

6.
Crystalline BaGaB4H3O10 at its relaxed geometry. Source: Alexandria via LeMat-Bulk, functional PBEsol.

Summary:
The electronic total energy comes out at -7.230 eV/atom. Its space group is C2/c. The crystal system is monoclinic.

Cell lengths 7.1515, 7.1465, 18.8049 Å; angles 83.15, 79.04, 59.98 degrees
Positions (direct):
B (0.8976, 0.2960, 0.3956)
B (0.9370, 0.9663, 0.7073)
B (0.8593, 0.8226, 0.0725)
B (0.3893, 0.4663, 0.2073)
B (0.4108, 0.7960, 0.8956)
B (0.7544, 0.6774, 0.4275)
B (0.1024, 0.7040, 0.6044)
B (0.5892, 0.2040, 0.1044)
B (0.5244, 0.0558, 0.9219)
B (0.2456, 0.3226, 0.5725)
B (0.1407, 0.1774, 0.9275)
B (0.0630, 0.0337, 0.2927)
B (0.4979, 0.5558, 0.4219)
B (0.4756, 0.9442, 0.0781)
B (0.6107, 0.5337, 0.7927)
B (0.5021, 0.4442, 0.5781)
O (0.0639, 0.6600, 0.0491)
O (0.1860, 0.9800, 0.9083)
O (0.6701, 0.9745, 0.2862)
O (0.6853, 0.0842, 0.9384)
O (0.2921, 0.5842, 0.4384)
O (0.0742, 0.5200, 0.5917)
O (0.0102, 0.1225, 0.4479)
O (0.9322, 0.1381, 0.6653)
O (0.3085, 0.2255, 0.9276)
O (0.3299, 0.0255, 0.7138)
O (0.9898, 0.8775, 0.5521)
O (0.5602, 0.2737, 0.1788)
O (0.5757, 0.8548, 0.9026)
O (0.3466, 0.4769, 0.2819)
O (0.8140, 0.0200, 0.0917)
O (0.9361, 0.3400, 0.9509)
O (0.7356, 0.3619, 0.8347)
O (0.3331, 0.6452, 0.5974)
O (0.3147, 0.9158, 0.0616)
O (0.5806, 0.3775, 0.0521)
O (0.4194, 0.6225, 0.9479)
O (0.8947, 0.9769, 0.7819)
O (0.0678, 0.8619, 0.3347)
O (0.9308, 0.5255, 0.2138)
O (0.6669, 0.3548, 0.4026)
O (0.4616, 0.2745, 0.5724)
O (0.4243, 0.1452, 0.0974)
O (0.7079, 0.4158, 0.5616)
O (0.2644, 0.6381, 0.1653)
O (0.9873, 0.7737, 0.6788)
O (0.6534, 0.5231, 0.7181)
O (0.6915, 0.7745, 0.0724)
O (0.4398, 0.7263, 0.8212)
O (0.7729, 0.8400, 0.4509)
O (0.0692, 0.4745, 0.7862)
O (0.0127, 0.2263, 0.3212)
O (0.5384, 0.7255, 0.4276)
O (0.1053, 0.0231, 0.2181)
O (0.9258, 0.4800, 0.4083)
O (0.2271, 0.1600, 0.5491)
H (0.9656, 0.4288, 0.2583)
H (0.1628, 0.8730, 0.1993)
H (0.9746, 0.4077, 0.7951)
H (0.8372, 0.1270, 0.8007)
H (0.8226, 0.9077, 0.2951)
H (0.3473, 0.9288, 0.7583)
H (0.1774, 0.0923, 0.7049)
H (0.0254, 0.5923, 0.2049)
H (0.0344, 0.5712, 0.7417)
H (0.2351, 0.6270, 0.3007)
H (0.6527, 0.0712, 0.2417)
H (0.7649, 0.3730, 0.6993)
Ga (0.3253, 0.6510, 0.0585)
Ga (0.6747, 0.3490, 0.9415)
Ga (0.0348, 0.8490, 0.4415)
Ga (0.9652, 0.1510, 0.5585)
Ba (0.6189, 0.8108, 0.6028)
Ba (0.9676, 0.3108, 0.1028)
Ba (0.3811, 0.1892, 0.3972)
Ba (0.0324, 0.6892, 0.8972)

***

7.
Crystalline ZnSiSe2 at its relaxed geometry. Source: Alexandria via LeMat-Bulk, functional PBEsol.

Summary:
The electronic total energy comes out at -3.733 eV/atom. The uncorrected formation energy comes out at 0.025 eV/atom. Its space group is Immm. The crystal system is orthorhombic.

Cell lengths 3.4315, 3.9079, 6.4474 Å; angles 107.64, 105.43, 90.00 degrees
Positions (direct):
Si (0.5000, 0.0000, 0.0000)
Se (0.8444, 0.8444, 0.6889)
Se (0.1556, 0.1556, 0.3111)
Zn (0.0000, 0.5000, 0.0000)

***

8.
Crystalline ZrAlSe2 at its relaxed geometry. Source: Alexandria via LeMat-Bulk, functional PBEsol.

Summary:
The electronic total energy comes out at -5.702 eV/atom. The uncorrected formation energy comes out at -0.482 eV/atom. Its space group is R-3m. The crystal system is trigonal.

Cell lengths 3.5452, 3.5452, 8.4208 Å; angles 77.85, 77.85, 60.00 degrees
Positions (direct):
Se (0.8929, 0.8929, 0.3212)
Se (0.1071, 0.1071, 0.6788)
Al (0.5000, 0.5000, 0.5000)
Zr (0.0000, 0.0000, 0.0000)

***

9.
Crystalline ZnSiPt at its relaxed geometry. Source: Alexandria via LeMat-Bulk, functional PBEsol.

Summary:
The electronic total energy comes out at -5.021 eV/atom. The uncorrected formation energy comes out at -0.257 eV/atom. Its space group is P-6m2. The crystal system is hexagonal.

Cell lengths 2.8350, 4.2003, 4.2003 Å; angles 120.00, 90.00, 90.00 degrees
Positions (direct):
Zn (0.5000, 0.3333, 0.6667)
Si (0.0000, 0.6667, 0.3333)
Pt (0.0000, 0.0000, 0.0000)

***

10.
Crystalline Li4VS4 at its relaxed geometry. Source: Alexandria via LeMat-Bulk, functional PBEsol.

Summary:
The electronic total energy comes out at -5.028 eV/atom. The uncorrected formation energy comes out at -1.135 eV/atom. Its space group is Pnma. The crystal system is orthorhombic.

Cell lengths 5.9727, 7.6837, 14.1386 Å; angles 90.00, 90.00, 90.00 degrees
Positions (direct):
Li (0.7001, 0.5033, 0.1775)
Li (0.7999, 0.9967, 0.6775)
Li (0.5000, 0.5000, 0.0000)
Li (0.5000, 0.0000, 0.0000)
Li (0.1334, 0.7500, 0.0875)
Li (0.2999, 0.4967, 0.8225)
Li (0.0000, 0.5000, 0.5000)
Li (0.0000, 0.0000, 0.5000)
Li (0.7001, 0.9967, 0.1775)
Li (0.2001, 0.0033, 0.3225)
Li (0.2001, 0.4967, 0.3225)
Li (0.7999, 0.5033, 0.6775)
Li (0.3666, 0.7500, 0.5875)
Li (0.2999, 0.0033, 0.8225)
Li (0.6334, 0.2500, 0.4125)
Li (0.8666, 0.2500, 0.9125)
S (0.2771, 0.0147, 0.1560)
S (0.7229, 0.9853, 0.8440)
S (0.7188, 0.2500, 0.5802)
S (0.2229, 0.4853, 0.6560)
S (0.7666, 0.7500, 0.5623)
S (0.7771, 0.5147, 0.3440)
S (0.2188, 0.7500, 0.9198)
S (0.7771, 0.9853, 0.3440)
S (0.7334, 0.7500, 0.0623)
S (0.7229, 0.5147, 0.8440)
S (0.2812, 0.7500, 0.4198)
S (0.2334, 0.2500, 0.4377)
S (0.2666, 0.2500, 0.9377)
S (0.2229, 0.0147, 0.6560)
S (0.2771, 0.4853, 0.1560)
S (0.7812, 0.2500, 0.0802)
V (0.6476, 0.7500, 0.4136)
V (0.1476, 0.2500, 0.0864)
V (0.8524, 0.7500, 0.9136)
V (0.3524, 0.2500, 0.5864)

***

11.
Crystalline TiZnSnO4 at its relaxed geometry. Source: Alexandria via LeMat-Bulk, functional PBEsol.

Summary:
The electronic total energy comes out at -7.024 eV/atom. The uncorrected formation energy comes out at -2.001 eV/atom. Its space group is Pna2_1. The crystal system is orthorhombic.

Cell lengths 5.2307, 8.6171, 19.6646 Å; angles 90.00, 90.00, 90.00 degrees
Positions (direct):
Sn (0.8363, 0.8708, 0.9440)
Sn (0.3363, 0.6292, 0.4440)
Sn (0.8363, 0.3708, 0.5560)
Sn (0.7438, 0.9319, 0.7271)
Sn (0.2438, 0.0681, 0.2729)
Sn (0.7438, 0.4319, 0.7729)
Sn (0.3363, 0.1292, 0.0560)
Sn (0.2438, 0.5681, 0.2271)
O (0.0708, 0.2832, 0.7584)
O (0.0420, 0.3061, 0.9166)
O (0.5420, 0.6939, 0.0834)
O (0.5527, 0.9285, 0.5308)
O (0.0763, 0.4823, 0.6356)
O (0.6414, 0.5913, 0.5237)
O (0.6634, 0.3382, 0.1161)
O (0.1634, 0.6618, 0.8839)
O (0.0527, 0.5715, 0.0308)
O (0.6634, 0.8382, 0.3839)
O (0.5699, 0.8440, 0.8138)
O (0.0699, 0.6560, 0.3138)
O (0.0763, 0.9823, 0.8644)
O (0.0699, 0.1560, 0.1862)
O (0.1634, 0.1618, 0.6161)
O (0.5527, 0.4285, 0.9692)
O (0.0650, 0.7491, 0.1594)
O (0.5763, 0.5177, 0.3644)
O (0.1414, 0.4087, 0.4763)
O (0.5650, 0.7509, 0.6594)
O (0.5699, 0.3440, 0.6862)
O (0.5650, 0.2509, 0.8406)
O (0.5708, 0.2168, 0.2584)
O (0.0708, 0.7832, 0.7416)
O (0.0527, 0.0715, 0.4692)
O (0.0650, 0.2491, 0.3406)
O (0.5420, 0.1939, 0.4166)
O (0.6414, 0.0913, 0.9763)
O (0.5763, 0.0177, 0.1356)
O (0.5708, 0.7168, 0.2416)
O (0.0420, 0.8061, 0.5834)
O (0.1414, 0.9087, 0.0237)
Ti (0.7030, 0.2672, 0.9262)
Ti (0.2030, 0.2328, 0.4262)
Ti (0.7340, 0.6900, 0.3252)
Ti (0.7030, 0.7672, 0.5738)
Ti (0.2340, 0.8100, 0.8252)
Ti (0.2030, 0.7328, 0.0738)
Ti (0.2340, 0.3100, 0.6748)
Ti (0.7340, 0.1900, 0.1748)
Zn (0.7041, 0.3109, 0.3413)
Zn (0.2041, 0.6891, 0.6587)
Zn (0.7083, 0.5029, 0.0541)
Zn (0.2083, 0.4971, 0.9459)
Zn (0.2041, 0.1891, 0.8413)
Zn (0.2083, 0.9971, 0.5541)
Zn (0.7041, 0.8109, 0.1587)
Zn (0.7083, 0.0029, 0.4459)

***

12.
Crystalline CaTaAs at its relaxed geometry. Source: Alexandria via LeMat-Bulk, functional PBEsol.

Summary:
The electronic total energy comes out at -6.674 eV/atom. The formation energy comes out at -77 meV/atom. Its space group is P3m1. The crystal system is trigonal.

Cell lengths 3.5057, 3.5057, 6.2323 Å; angles 90.00, 90.00, 120.00 degrees
Positions (direct):
As (0.0000, 0.0000, 0.0275)
Ta (0.6667, 0.3333, 0.2729)
Ca (0.3333, 0.6667, 0.6996)

***

13.
Crystalline CaMgCo2 at its relaxed geometry. Source: Alexandria via LeMat-Bulk, functional PBEsol.

Summary:
The electronic total energy comes out at -4.539 eV/atom. The formation energy comes out at 292 meV/atom. Its space group is Cm. The crystal system is monoclinic.

Cell lengths 3.1160, 4.6247, 5.5079 Å; angles 115.35, 106.43, 90.00 degrees
Positions (direct):
Co (0.9550, 0.9541, 0.9100)
Co (0.2832, 0.7852, 0.5664)
Ca (0.7354, 0.2363, 0.4708)
Mg (0.5264, 0.5244, 0.0528)

***

14.
Crystalline SiSbSeN2 at its relaxed geometry. Source: Alexandria via LeMat-Bulk, functional PBEsol.

Summary:
The electronic total energy comes out at -5.695 eV/atom. The uncorrected formation energy comes out at 0.547 eV/atom. Its space group is P4/mmm. The crystal system is tetragonal.

Cell lengths 3.7531, 3.7531, 4.8671 Å; angles 90.00, 90.00, 90.00 degrees
Positions (direct):
Si (0.0000, 0.0000, 0.0000)
Se (0.0000, 0.0000, 0.5000)
Sb (0.5000, 0.5000, 0.5000)
N (0.0000, 0.5000, 0.0000)
N (0.5000, 0.0000, 0.0000)

***

15.
Crystalline Ta2TcBAs at its relaxed geometry. Source: Alexandria via LeMat-Bulk, functional PBEsol.

Summary:
The electronic total energy comes out at -7.811 eV/atom. The formation energy comes out at 1887 meV/atom. Its space group is P4/mmm. The crystal system is tetragonal.

Cell lengths 4.3998, 4.6450, 4.6450 Å; angles 90.00, 90.00, 90.00 degrees
Positions (direct):
Tc (0.5000, 0.0000, 0.0000)
As (0.0000, 0.0000, 0.0000)
Ta (0.0000, 0.0000, 0.5000)
Ta (0.0000, 0.5000, 0.0000)
B (0.5000, 0.5000, 0.5000)

***

16.
Crystalline LiCa2Cd at its relaxed geometry. Source: Alexandria via LeMat-Bulk, functional PBEsol.

Summary:
The electronic total energy comes out at -2.054 eV/atom. The formation energy comes out at -196 meV/atom. Its space group is Fm-3m. The crystal system is cubic.

Cell lengths 5.3973, 5.3973, 5.3973 Å; angles 60.00, 60.00, 60.00 degrees
Positions (direct):
Ca (0.7500, 0.7500, 0.7500)
Ca (0.2500, 0.2500, 0.2500)
Cd (0.0000, 0.0000, 0.0000)
Li (0.5000, 0.5000, 0.5000)

***

17.
Crystalline FeAsIr2 at its relaxed geometry. Source: Alexandria via LeMat-Bulk, functional PBEsol.

Summary:
The electronic total energy comes out at -8.207 eV/atom. The formation energy comes out at 222 meV/atom. Its space group is P2/m. The crystal system is monoclinic.

Cell lengths 2.7484, 4.4284, 4.6328 Å; angles 90.00, 90.37, 90.00 degrees
Positions (direct):
Ir (0.2566, 0.0000, 0.2537)
Ir (0.7434, 0.0000, 0.7463)
Fe (0.0000, 0.5000, 0.5000)
As (0.5000, 0.5000, 0.0000)

***

18.
Crystalline CaSiN2 at its relaxed geometry. Source: Alexandria via LeMat-Bulk, functional PBEsol.

Summary:
The electronic total energy comes out at -7.562 eV/atom. The uncorrected formation energy comes out at -1.329 eV/atom. Its space group is Cmce. The crystal system is orthorhombic.

Cell lengths 5.3991, 6.0821, 6.7845 Å; angles 90.00, 90.00, 116.35 degrees
Positions (direct):
N (0.5985, 0.1969, 0.6107)
N (0.0985, 0.1969, 0.8893)
N (0.4015, 0.8031, 0.3893)
N (0.9015, 0.8031, 0.1107)
N (0.6174, 0.7349, 0.7500)
N (0.8826, 0.2651, 0.2500)
N (0.1174, 0.7349, 0.7500)
N (0.3826, 0.2651, 0.2500)
Ca (0.8231, 0.6463, 0.4288)
Ca (0.6769, 0.3537, 0.9288)
Ca (0.3231, 0.6463, 0.0712)
Ca (0.1769, 0.3537, 0.5712)
Si (0.5619, 0.1237, 0.3571)
Si (0.4381, 0.8763, 0.6429)
Si (0.0619, 0.1237, 0.1429)
Si (0.9381, 0.8763, 0.8571)

***

19.
Crystalline AlCdBr2 at its relaxed geometry. Source: Alexandria via LeMat-Bulk, functional PBEsol.

Summary:
The electronic total energy comes out at -2.551 eV/atom. The uncorrected formation energy comes out at -0.293 eV/atom. Its space group is Imm2. The crystal system is orthorhombic.

Cell lengths 3.5540, 5.8304, 5.8304 Å; angles 62.18, 72.26, 72.26 degrees
Positions (direct):
Al (0.2467, 0.2533, 0.2533)
Br (0.9542, 0.0458, 0.0458)
Br (0.7796, 0.7204, 0.7204)
Cd (0.5196, 0.4804, 0.4804)